The following is a DFT calculation (PBE-GGA) of an optimized crystal structure of DyErZr.

Summary:
ΔH_f (0 K) = 0.08 eV per atom
Spin magnetization = 0.0 μB per formula unit
Space group = No. 156
Energy relative to the lowest polymorph listed for this composition = 11 meV per atom

Unit cell a=3.3987 b=3.3987 c=8.3775 alpha=90.00 beta=90.00 gamma=120.00
With the nearest neighbours (Å) after each atom.
Sites, in units of the cell vectors:
1 Dy 0.0000 0.0000 0.0000  3 Zr 3.31, 6 Dy 3.40, 3 Er 3.65
2 Er 0.3333 0.6667 0.6330  3 Zr 3.29, 6 Er 3.40, 3 Dy 3.65
3 Zr 0.6667 0.3333 0.3176  3 Er 3.29, 3 Dy 3.31, 6 Zr 3.40